Entry from the Alexandria database: a relaxed structure of AcNd14Sc (GGA-PBE).

Lattice parameters (Å, degrees): 7.348 7.348 10.378 90.00 90.00 90.03
Atoms (fractional coordinates):
Nd (0.619, 0.869, 0.752)
Nd (0.620, 0.380, 0.751)
Nd (0.620, 0.380, 0.249)
Nd (0.130, 0.870, 0.752)
Nd (0.875, 0.625, 0.000)
Nd (0.131, 0.381, 0.752)
Nd (0.875, 0.125, 0.500)
Nd (0.619, 0.869, 0.248)
Nd (0.375, 0.125, 0.500)
Nd (0.375, 0.125, 0.000)
Nd (0.375, 0.625, 0.500)
Ac (0.875, 0.125, 0.000)
Sc (0.375, 0.625, 0.000)
Nd (0.131, 0.381, 0.248)
Nd (0.875, 0.625, 0.500)
Nd (0.130, 0.870, 0.248)

## Properties
The calculation puts the total magnetic moment at 0.0 μB per formula unit. The volume comes out at 560.4 Å³/f.u. The formation energy comes out at 0.025 eV per atom.